Below is a relaxed ErSiPt crystal, with properties calculated at the PBE-GGA level.

Cell lengths 6.9428, 4.2696, 7.4535 Å; angles 90.00, 90.00, 90.00 degrees
Closest atoms and distances in Å follow each position.
Space group Pnma (No. 62)
Asymmetric unit:
1 Er 0.0029 0.2500 0.2009  6 Si 2.96-3.17, 6 Pt 2.97-3.19
2 Si 0.1884 0.2500 0.5889  4 Pt 2.50-2.69
3 Pt 0.1995 0.7500 0.4151  4 Si 2.50-2.69

Values from the calculation:
For the total magnetic moment, the calculation gives 0.0 μB per formula unit. As for the crystal system: orthorhombic. The energy is -78.70 eV per cell. For the density, the calculation gives 11.74 g/cm3.

=====

Below is a relaxed AcLaU crystal, with properties calculated at the PBE-GGA level.

Cell lengths 7.8165, 7.8165, 7.8165 Å; angles 90.00, 90.00, 90.00 degrees
Closest atoms and distances in Å follow each position.
Space group F-43m (No. 216)
Asymmetric unit:
1 Ac 0.0000 0.0000 0.0000  4 U 3.38
2 La 0.0000 0.0000 0.5000  4 U 3.38
3 U 0.2500 0.2500 0.2500  4 Ac 3.38, 4 La 3.38

Values from the calculation:
The calculation puts the energy relative to the lowest polymorph listed for this composition at 0.00 eV/f.u. The energy of formation from the pure elements is 1.203 eV/atom. For the total magnetic moment, the calculation gives 4.3 μB per formula unit. As for the crystal system: cubic. For the density, the calculation gives 8.40 g/cm3.

=====

Below is a relaxed TaCuNiSb crystal, with properties calculated at the PBE-GGA level.

Cell lengths 6.3572, 6.3572, 6.3572 Å; angles 90.00, 90.00, 90.00 degrees
Closest atoms and distances in Å follow each position.
Space group F-43m (No. 216)
Asymmetric unit:
1 Ta 0.0000 0.0000 0.0000  4 Sb 2.75, 4 Ni 2.75
2 Cu 0.0000 0.0000 0.5000  4 Ni 2.75, 4 Sb 2.75
3 Ni 0.2500 0.2500 0.7500  4 Ta 2.75, 4 Cu 2.75
4 Sb 0.2500 0.2500 0.2500  4 Cu 2.75, 4 Ta 2.75

Values from the calculation:
The calculation puts the energy relative to the lowest polymorph listed for this composition at 0.03 eV/f.u. For the total magnetic moment, the calculation gives 0.0 μB per formula unit. As for the crystal system: cubic. For the density, the calculation gives 10.99 g/cm3.

=====

Below is a relaxed ScFeBW crystal, with properties calculated at the PBE-GGA level.

Cell lengths 5.9133, 5.9133, 5.9133 Å; angles 90.00, 90.00, 90.00 degrees
Closest atoms and distances in Å follow each position.
Space group F-43m (No. 216)
Asymmetric unit:
1 Sc 0.0000 0.0000 0.0000  4 W 2.56, 4 B 2.56
2 Fe 0.0000 0.0000 0.5000  4 W 2.56, 4 B 2.56
3 B 0.2500 0.2500 0.2500  4 Fe 2.56, 4 Sc 2.56
4 W 0.2500 0.2500 0.7500  4 Fe 2.56, 4 Sc 2.56

Values from the calculation:
The calculation puts the energy relative to the lowest polymorph listed for this composition at 0.00 eV/f.u. For the total magnetic moment, the calculation gives 0.0 μB per formula unit. As for the crystal system: cubic. For the density, the calculation gives 9.49 g/cm3.

=====

Below is a relaxed ErSi crystal, with properties calculated at the PBE-GGA level.

Cell lengths 7.8166, 3.8056, 5.6402 Å; angles 90.00, 90.00, 90.00 degrees
Closest atoms and distances in Å follow each position.
Space group Pnma (No. 62)
Asymmetric unit:
1 Er 0.1791 0.2500 0.1147  7 Si 2.92-3.13
2 Si 0.0386 0.2500 0.6308  2 Si 2.48

Values from the calculation:
For the total magnetic moment, the calculation gives 0.0 μB per formula unit. As for the crystal system: orthorhombic. The energy is -46.57 eV per cell. For the density, the calculation gives 7.73 g/cm3.

=====

Below is a relaxed NaDySeO crystal, with properties calculated at the PBE-GGA level.

Cell lengths 4.4133, 7.4728, 6.2033 Å; angles 90.00, 90.00, 90.00 degrees
Closest atoms and distances in Å follow each position.
Space group Pmc2_1 (No. 26)
Asymmetric unit:
1 Na 0.0000 0.2104 0.0000  2 O 2.60, 1 Se 2.90
2 Dy 0.5000 0.3670 0.4111  2 O 2.11
3 Se 0.0000 0.1784 0.5341  2 Dy 2.73, 2 Na 2.90-2.91
4 O 0.5000 0.3847 0.0719  2 Dy 2.11

Values from the calculation:
The calculation puts the energy relative to the lowest polymorph listed for this composition at 0.80 eV/f.u. For the total magnetic moment, the calculation gives 0.0 μB per formula unit. As for the crystal system: orthorhombic. For the density, the calculation gives 4.55 g/cm3.

=====

Below is a relaxed PmTmIr crystal, with properties calculated at the PBE-GGA level.

Cell lengths 6.6659, 6.6659, 6.6659 Å; angles 90.00, 90.00, 90.00 degrees
Closest atoms and distances in Å follow each position.
Space group F-43m (No. 216)
Asymmetric unit:
1 Pm 0.0000 0.0000 0.0000  4 Tm 2.89
2 Tm 0.2500 0.2500 0.7500  4 Pm 2.89, 4 Ir 2.89
3 Ir 0.0000 0.0000 0.5000  4 Tm 2.89

Values from the calculation:
The energy of formation from the pure elements is 0.127 eV/atom. For the total magnetic moment, the calculation gives 0.0 μB per formula unit. As for the crystal system: cubic. For the density, the calculation gives 11.35 g/cm3.

=====

Below is a relaxed FeReSiW crystal, with properties calculated at the PBE-GGA level.

Cell lengths 6.0006, 6.0006, 6.0006 Å; angles 90.00, 90.00, 90.00 degrees
Closest atoms and distances in Å follow each position.
Space group F-43m (No. 216)
Asymmetric unit:
1 Fe 0.0000 0.0000 0.0000  4 Si 2.60, 4 W 2.60
2 Re 0.0000 0.0000 0.5000  4 W 2.60, 4 Si 2.60
3 Si 0.2500 0.2500 0.7500  4 Fe 2.60, 4 Re 2.60
4 W 0.2500 0.2500 0.2500  4 Fe 2.60, 4 Re 2.60

Values from the calculation:
The calculation puts the energy relative to the lowest polymorph listed for this composition at 0.00 eV/f.u. For the total magnetic moment, the calculation gives 0.8 μB per formula unit. As for the crystal system: cubic. For the density, the calculation gives 13.96 g/cm3.

=====

Below is a relaxed LiSmTa crystal, with properties calculated at the PBE-GGA level.

Cell lengths 6.7607, 6.7607, 6.7607 Å; angles 90.00, 90.00, 90.00 degrees
Closest atoms and distances in Å follow each position.
Space group F-43m (No. 216)
Asymmetric unit:
1 Li 0.0000 0.0000 0.0000  4 Sm 2.93
2 Sm 0.2500 0.2500 0.2500  4 Ta 2.93, 4 Li 2.93
3 Ta 0.0000 0.0000 0.5000  4 Sm 2.93

Values from the calculation:
For the total magnetic moment, the calculation gives 1.6 μB per formula unit. As for the crystal system: cubic. The energy is -55.47 eV per cell. For the density, the calculation gives 7.27 g/cm3.

=====

Below is a relaxed TbGd3Te2C2 crystal, with properties calculated at the PBE-GGA level.

Cell lengths 3.8718, 3.8718, 14.1852 Å; angles 90.00, 90.00, 120.00 degrees
Closest atoms and distances in Å follow each position.
Space group P3m1 (No. 156)
Asymmetric unit:
1 Tb 0.0000 0.0000 0.0000  3 C 2.60
2 Gd 0.0000 0.0000 0.6885  3 C 2.60
3 Gd 0.6667 0.3333 0.1875  3 C 2.60
4 Gd 0.6667 0.3333 0.4999  3 C 2.60
5 Te 0.0000 0.0000 0.3438  6 Gd 3.15
6 Te 0.6667 0.3333 0.8450  3 Tb 3.14, 3 Gd 3.15
7 C 0.3333 0.6667 0.0933  3 Tb 2.60, 3 Gd 2.60
8 C 0.3333 0.6667 0.5942  6 Gd 2.60

Values from the calculation:
For the total magnetic moment, the calculation gives 0.0 μB per formula unit. As for the crystal system: trigonal. The energy is -50.11 eV per cell. For the density, the calculation gives 8.20 g/cm3.

=====

Below is a relaxed TlCuTcSe3 crystal, with properties calculated at the PBE-GGA level.

Cell lengths 12.3278, 3.3848, 12.2539 Å; angles 90.00, 90.00, 90.00 degrees
Closest atoms and distances in Å follow each position.
Space group Pnma (No. 62)
Asymmetric unit:
1 Tl 0.1409 0.2500 0.0097  2 Cu 3.01, 3 Se 3.09-3.25
2 Cu 0.2351 0.7500 0.8295  4 Se 2.46-2.56
3 Tc 0.0414 0.2500 0.6397  6 Se 2.50-2.59
4 Se 0.0312 0.7500 0.7892  2 Tc 2.50, 1 Cu 2.56
5 Se 0.0947 0.2500 0.4352  1 Cu 2.47, 3 Tc 2.55-2.59
6 Se 0.2409 0.2500 0.6837  2 Cu 2.46, 1 Tc 2.52

Values from the calculation:
The calculation puts the energy relative to the lowest polymorph listed for this composition at 0.52 eV/f.u. For the total magnetic moment, the calculation gives 0.0 μB per formula unit. As for the crystal system: orthorhombic. For the density, the calculation gives 7.83 g/cm3.

=====

Below is a relaxed KCdPO crystal, with properties calculated at the PBE-GGA level.

Cell lengths 3.3449, 9.5447, 5.1722 Å; angles 90.00, 90.00, 90.00 degrees
Closest atoms and distances in Å follow each position.
Space group Pmc2_1 (No. 26)
Asymmetric unit:
1 K 0.0000 0.1199 0.0000  3 O 2.60-2.61
2 Cd 0.5000 0.2956 0.4988  2 O 2.16
3 P 0.5000 0.4431 0.9976  1 Cd 2.49
4 O 0.0000 0.1528 0.5009  2 Cd 2.16

Values from the calculation:
The calculation puts the energy relative to the lowest polymorph listed for this composition at 0.00 eV/f.u. As for the crystal system: orthorhombic. For the density, the calculation gives 3.99 g/cm3.